1.
! FeP6W3O24 (PBE with a Hubbard U, relaxed); values from VASP
! Space group: R3
! DOS at the Fermi energy (states/eV/f.u.): 0.00
! Total energy (eV per atom): -7.377
! Total magnetization (μB per formula unit): 8.00
! Theoretical density (g/cm³): 4.01
&SYSTEM
  ibrav = 0, nat = 34, ntyp = 4
/
ATOMIC_SPECIES
Fe 55.84 Fe.upf
P 30.97 P.upf
W 183.84 W.upf
O 16.00 O.upf
CELL_PARAMETERS angstrom
-7.412 -4.820 -1.034
0.402 -8.680 -1.932
-2.349 -6.149 5.992
ATOMIC_POSITIONS angstrom
Fe -8.033 -16.866 2.597
P -1.833 -8.856 3.550
P -3.261 -8.988 -1.724
P -6.647 -6.806 1.970
P -2.711 -12.863 1.123
P -6.166 -10.662 4.730
P -7.494 -10.844 -0.561
W -1.339 -2.810 0.433
W -3.346 -7.025 1.082
W -6.008 -12.615 1.942
O -1.422 -6.784 0.685
O -3.333 -5.600 2.456
O -2.455 -8.502 4.932
O -3.890 -5.766 -0.346
O -2.822 -8.327 2.478
O -1.618 -10.325 3.332
O -1.926 -9.786 -1.774
O -3.406 -8.472 -0.268
O -5.258 -7.317 1.503
O -2.150 -11.917 0.019
O -1.813 -12.966 2.319
O -4.914 -9.817 5.112
O -4.474 -9.798 -2.078
O -7.537 -6.734 0.695
O -7.172 -7.725 3.034
O -4.111 -12.289 1.466
O -5.883 -11.164 3.289
O -7.448 -9.894 4.840
O -7.726 -9.318 -0.350
O -6.543 -11.265 0.591
O -5.393 -13.910 3.329
O -6.949 -11.172 -1.918
O -6.092 -14.010 0.519
O -7.930 -12.840 2.428

2.
! FePWO2 (PBE with a Hubbard U, relaxed); values from VASP
! Space group: P4/mmm
! DOS at the Fermi energy (states/eV/f.u.): 1.14
! Total energy (eV per atom): -5.706
! Total magnetization (μB per formula unit): 7.06
! Theoretical density (g/cm³): 7.03
! Polymorph energy (0 for the lowest one) (meV/atom): 536
&SYSTEM
  ibrav = 0, nat = 5, ntyp = 4
/
ATOMIC_SPECIES
O 16.00 O.upf
P 30.97 P.upf
Fe 55.84 Fe.upf
W 183.84 W.upf
CELL_PARAMETERS angstrom
3.772 0.000 0.000
0.000 3.772 0.000
0.000 0.000 5.022
ATOMIC_POSITIONS angstrom
O 0.000 1.886 0.000
O 1.886 0.000 0.000
P 0.000 0.000 2.511
Fe 0.000 0.000 0.000
W 1.886 1.886 2.511

3.
! FeP2WO8 (PBE with a Hubbard U, relaxed); values from VASP
! Space group: P2_1/m
! DOS at the Fermi energy (states/eV/f.u.): 0.00
! Total energy (eV per atom): -7.320
! Total magnetization (μB per formula unit): 5.96
! Theoretical density (g/cm³): 4.67
&SYSTEM
  ibrav = 0, nat = 24, ntyp = 4
/
ATOMIC_SPECIES
Fe 55.84 Fe.upf
P 30.97 P.upf
W 183.84 W.upf
O 16.00 O.upf
CELL_PARAMETERS angstrom
5.004 0.008 0.001
-0.537 10.129 0.002
-0.001 -0.001 6.025
ATOMIC_POSITIONS angstrom
Fe -0.060 7.325 4.520
Fe 4.526 2.811 1.507
P 1.933 0.890 1.507
P 2.533 9.246 4.521
P 4.158 4.118 4.520
P 0.308 6.018 1.507
W 2.043 2.224 4.520
W 2.423 7.912 1.508
O 3.418 0.608 4.520
O 1.049 9.528 1.508
O 3.429 1.122 1.507
O 1.037 9.014 4.521
O 0.638 3.756 4.520
O 3.828 6.380 1.508
O 0.522 4.526 1.507
O 3.944 5.610 4.521
O 1.224 1.617 0.277
O 1.224 1.617 2.736
O 3.242 8.520 3.292
O 3.242 8.519 5.750
O 3.389 3.381 5.704
O 3.390 3.382 3.336
O 1.077 6.755 0.323
O 1.077 6.755 2.692

4.
! FeP2WO (PBE with a Hubbard U, relaxed); values from VASP
! Space group: P4/mmm
! DOS at the Fermi energy (states/eV/f.u.): 2.36
! Total energy (eV per atom): -5.528
! Total magnetization (μB per formula unit): 4.13
! Theoretical density (g/cm³): 5.82
! Polymorph energy (0 for the lowest one) (meV/atom): 0
&SYSTEM
  ibrav = 0, nat = 5, ntyp = 4
/
ATOMIC_SPECIES
O 16.00 O.upf
P 30.97 P.upf
Fe 55.84 Fe.upf
W 183.84 W.upf
CELL_PARAMETERS angstrom
4.885 0.000 0.000
0.000 4.885 0.000
0.000 0.000 3.799
ATOMIC_POSITIONS angstrom
O 0.000 0.000 1.899
P 0.000 2.442 0.000
P 2.442 0.000 0.000
Fe 2.442 2.442 1.899
W 0.000 0.000 0.000

5.
! FeP2WO (PBE with a Hubbard U, relaxed); values from VASP
! Space group: P4/mmm
! DOS at the Fermi energy (states/eV/f.u.): 2.18
! Total energy (eV per atom): -5.197
! Total magnetization (μB per formula unit): 4.58
! Theoretical density (g/cm³): 6.84
! Polymorph energy (0 for the lowest one) (meV/atom): 331
&SYSTEM
  ibrav = 0, nat = 5, ntyp = 4
/
ATOMIC_SPECIES
O 16.00 O.upf
P 30.97 P.upf
Fe 55.84 Fe.upf
W 183.84 W.upf
CELL_PARAMETERS angstrom
4.684 0.000 0.000
0.000 4.684 0.000
0.000 0.000 3.516
ATOMIC_POSITIONS angstrom
O 0.000 0.000 1.758
P 0.000 2.342 0.000
P 2.342 0.000 0.000
Fe 0.000 0.000 0.000
W 2.342 2.342 1.758

6.
! Y2FePO (PBE with a Hubbard U, relaxed); values from VASP
! Space group: P4/mmm
! DOS at the Fermi energy (states/eV/f.u.): 2.16
! Total energy (eV per atom): -6.298
! Total magnetization (μB per formula unit): 1.28
! Theoretical density (g/cm³): 4.74
&SYSTEM
  ibrav = 0, nat = 5, ntyp = 4
/
ATOMIC_SPECIES
Y 88.91 Y.upf
P 30.97 P.upf
Fe 55.84 Fe.upf
O 16.00 O.upf
CELL_PARAMETERS angstrom
5.229 0.000 0.000
0.000 5.229 0.000
0.000 0.000 3.594
ATOMIC_POSITIONS angstrom
Y 0.000 2.615 0.000
Y 2.615 0.000 0.000
P 2.615 2.615 1.797
Fe 0.000 0.000 0.000
O 0.000 0.000 1.797

no.,V (Å³ per cell)
1,486.9
2,71.5
3,305.4
4,90.6
5,77.1
6,98.3